Here is a relaxed Pm2Er2Sc3 crystal from Alexandria via LeMat-Bulk. Energies are from PBE.

Values from the calculation:
Polymorph energy (0 for the lowest one)   42 meV/atom
E_form   0.151 eV per atom
Energy   -5.2238 eV per atom
Magnetic moment   0.00 μB per formula unit

a b c (Å): 8.613 8.613 8.248
angles (deg): 118.41 118.41 22.74
Element x y z (fractional)
1 Pm 0.070 0.070 0.232
2 Pm 0.930 0.930 0.768
3 Er 0.349 0.349 0.036
4 Er 0.651 0.651 0.964
5 Sc 0.288 0.288 0.379
6 Sc 0.500 0.500 0.500
7 Sc 0.712 0.712 0.621